Here is a relaxed Sr13Pt2 crystal from the Alexandria database. Energies are from PBE.

The structure in POSCAR format:
```
Sr13Pt2
1.0
-4.2819 -0.8141 -6.0298
7.7896 -4.2541 -3.5222
-6.9750 -6.7796 5.9134
Sr Pt
13 2
direct
0.7677 0.6132 0.0785
0.2323 0.3868 0.9215
0.0000 0.0000 0.0000
0.1468 0.9214 0.6181
0.8532 0.0786 0.3819
0.9208 0.5421 0.6937
0.0792 0.4579 0.3063
0.6201 0.6957 0.4661
0.3799 0.3043 0.5339
0.4697 0.7699 0.8438
0.5303 0.2301 0.1562
0.6934 0.1518 0.7699
0.3066 0.8482 0.2301
0.8078 0.8467 0.7308
0.1922 0.1533 0.2692
```

Energy relative to the elements, meV per atom: -316
Uncorrected energy, eV per cell: -38.7
Total magnetic moment, μB/atom: 0.0000
SG: P-1 (2)



Here is a relaxed LiFe2P crystal from the Alexandria database. Energies are from PBE.

The structure in POSCAR format:
```
LiFe2P
1.0
-1.4416 3.1938 2.9581
3.0051 -3.2296 1.5507
2.2017 1.2297 0.0527
Fe Li P
2 1 1
direct
0.0000 0.0000 0.0000
0.5000 0.0000 0.5000
0.0000 0.5000 0.5000
0.5000 0.5000 0.0000
```

Energy relative to the elements, meV per atom: -12
Uncorrected energy, eV per cell: -24.3
Total magnetic moment, μB/atom: 1.0498
SG: C2/m (12)



Here is a relaxed EuHoCuGe crystal from the Alexandria database. Energies are from PBE.

The structure in POSCAR format:
```
EuHoCuGe
1.0
5.0636 0.0000 0.0000
2.5318 4.3852 0.0000
2.5318 1.4617 4.1344
Eu Ge Ho Cu
1 1 1 1
direct
0.0000 0.0000 0.0000
0.2500 0.2500 0.2500
0.5000 0.5000 0.5000
0.7500 0.7500 0.7500
```

Energy relative to the elements, meV per atom: -445
Uncorrected energy, eV per cell: -25.3
Total magnetic moment, μB/atom: 1.8030
SG: F-43m (216)



Here is a relaxed Li3WS crystal from the Alexandria database. Energies are from PBE.

The structure in POSCAR format:
```
Li3WS
1.0
-1.5045 -4.5771 1.5081
4.6850 -1.0189 1.5812
-1.1292 1.8707 4.5512
S W Li
1 1 3
direct
0.5000 0.5000 0.5000
0.0000 0.0000 0.0000
0.0000 0.5000 0.0000
0.0000 0.0000 0.5000
0.5000 0.0000 0.0000
```

Energy above the most stable polymorph in this dataset, eV/atom: 0.849
Uncorrected energy, eV per cell: -16.1
Total magnetic moment, μB/atom: 1.0000
ΔE_f (raw), eV per atom: 1.35
SG: Pm-3m (221)